! Mn2FeBiO6 | Alexandria via LeMat-Bulk | PBE with a Hubbard U | optimized geometry; values from VASP
! Volume in Å³ per atom: 11.97
! SG: R3, No. 146
! Energy in eV/atom: -6.83
&SYSTEM
  ibrav = 0, nat = 10, ntyp = 4
/
ATOMIC_SPECIES
Mn 54.94 Mn.upf
Fe 55.84 Fe.upf
Bi 208.98 Bi.upf
O 16.00 O.upf
ATOMIC_POSITIONS angstrom
Mn 0.0000 0.0000 0.0000
Mn 0.0000 0.0000 7.0307
Fe 0.0000 0.0000 10.0410
Bi 0.0000 0.0000 3.0771
O -1.8825 0.1503 6.0581
O -1.0632 -1.1491 8.6547
O 0.8111 -1.7054 6.0581
O -0.4635 1.4953 8.6547
O 1.0714 1.5551 6.0581
O 1.5267 -0.3462 8.6547
CELL_PARAMETERS angstrom
2.6718 1.5426 4.8409
-2.6718 1.5426 4.8409
0.0000 -3.0851 4.8409